VASP calculation (PBE+U) on crystalline MnP2O6 at its relaxed geometry.

Properties
- D(E_F): 0.000 states/eV per cell
- Excess energy over the best structure of this formula in the dataset: 0.0 kJ/mol of atoms

a b c (Å): 7.491 7.491 10.356
angles (deg): 66.44 66.44 69.83
Last column: magnetic moment on the atom in μB.
Atoms (fractional coordinates):
Mn (0.000, 0.500, 0.500)  4.67
Mn (0.500, 0.000, 0.000)  4.67
Mn (0.543, 0.457, 0.750)  4.68
Mn (0.457, 0.543, 0.250)  4.68
P (0.799, 0.815, 0.692)  0.01
P (0.185, 0.201, 0.808)  0.01
P (0.201, 0.185, 0.308)  0.01
P (0.815, 0.799, 0.192)  0.01
P (0.759, 0.227, 0.477)  0.01
P (0.773, 0.241, 0.023)  0.01
P (0.241, 0.773, 0.523)  0.01
P (0.227, 0.759, 0.977)  0.01
O (0.033, 0.803, 0.654)  0.00
O (0.197, 0.967, 0.846)  0.00
O (0.967, 0.197, 0.346)  0.00
O (0.803, 0.033, 0.154)  0.00
O (0.732, 0.000, 0.559)  0.00
O (0.000, 0.268, 0.941)  0.00
O (0.268, 0.000, 0.441)  0.00
O (0.000, 0.732, 0.059)  0.00
O (0.693, 0.853, 0.837)  0.01
O (0.147, 0.307, 0.663)  0.01
O (0.307, 0.147, 0.163)  0.01
O (0.853, 0.693, 0.337)  0.01
O (0.778, 0.633, 0.673)  0.03
O (0.367, 0.222, 0.827)  0.03
O (0.222, 0.367, 0.327)  0.03
O (0.633, 0.778, 0.173)  0.03
O (0.787, 0.306, 0.580)  0.03
O (0.694, 0.213, 0.920)  0.03
O (0.213, 0.694, 0.420)  0.03
O (0.306, 0.787, 0.080)  0.03
O (0.404, 0.663, 0.591)  0.02
O (0.337, 0.596, 0.909)  0.02
O (0.596, 0.337, 0.409)  0.02
O (0.663, 0.404, 0.091)  0.02